The following is a GGA+U calculation of MnCuO3 after structural relaxation, from Alexandria.

Properties
space group = Pm-3m
raw total energy = -28.65 eV/cell
V = 10.1 A^3/atom

Unit cell a=3.7003 b=3.7003 c=3.7003 alpha=90.00 beta=90.00 gamma=90.00
Closest atoms and distances in Å follow each position.
Fractional positions:
Mn  0.0000  0.0000  0.0000  6 O 1.85
Cu  0.5000  0.5000  0.5000  12 O 2.62
O  0.0000  0.0000  0.5000  2 Mn 1.85
O  0.0000  0.5000  0.0000  2 Mn 1.85
O  0.5000  0.0000  0.0000  2 Mn 1.85